# 1
First-principles (GGA-PBE) data for a relaxed Li2TaTl crystal, as listed in Alexandria via LeMat-Bulk.

Symmetry   No. 123
ΔE_f   0.396 eV per atom
V   18.4 A^3/atom

Cell: 4.4947 4.0468 4.0468 Å, 90.00 90.00 90.00°
Element x y z (fractional)
Li: 0.0000 0.0000 0.0000
Li: 0.0000 0.5000 0.5000
Ta: 0.5000 0.5000 0.0000
Tl: 0.5000 0.0000 0.5000

---

# 2
First-principles (GGA-PBE) data for a relaxed Ac3B2Pd9Au crystal, as listed in Alexandria via LeMat-Bulk.

Symmetry   No. 164
ΔE_f   -0.576 eV per atom
V   19.9 A^3/atom

Cell: 6.8803 6.8803 7.2841 Å, 90.00 90.00 120.00°
Element x y z (fractional)
B: 0.3333 0.6667 0.1262
B: 0.6667 0.3333 0.8738
Pd: 0.1915 0.8085 0.3024
Pd: 0.1915 0.3830 0.3024
Pd: 0.8085 0.6170 0.6976
Pd: 0.0000 0.5000 0.0000
Pd: 0.3830 0.1915 0.6976
Pd: 0.5000 0.0000 0.0000
Pd: 0.8085 0.1915 0.6976
Pd: 0.6170 0.8085 0.3024
Pd: 0.5000 0.5000 0.0000
Ac: 0.3333 0.6667 0.6628
Ac: 0.0000 0.0000 0.0000
Ac: 0.6667 0.3333 0.3372
Au: 0.0000 0.0000 0.5000

---

# 3
First-principles (GGA-PBE) data for a relaxed PmSm2Tm4 crystal, as listed in Alexandria via LeMat-Bulk.

Symmetry   No. 12
ΔE_f   0.040 eV per atom
V   31.8 A^3/atom

Cell: 3.5167 8.8227 8.6802 Å, 121.83 90.01 101.49°
Element x y z (fractional)
Tm: 0.3619 0.7232 0.5539
Tm: 0.9298 0.8588 0.2911
Tm: 0.0702 0.1412 0.7089
Tm: 0.6381 0.2768 0.4461
Pm: 0.0000 0.0000 0.0000
Sm: 0.2951 0.5902 0.8809
Sm: 0.7049 0.4098 0.1191

---

# 4
First-principles (GGA-PBE) data for a relaxed Sr3NiH crystal, as listed in Alexandria via LeMat-Bulk.

Symmetry   No. 11
V   34.4 A^3/atom
Electronic total energy   -28.95 eV for the cell shown

Cell: 4.1337 9.2980 9.1704 Å, 102.47 90.00 90.00°
Element x y z (fractional)
Sr: 0.7500 0.1366 0.3761
Sr: 0.2500 0.4805 0.2821
Sr: 0.2500 0.8634 0.6239
Sr: 0.7500 0.2024 0.9420
Sr: 0.7500 0.5195 0.7179
Sr: 0.2500 0.7976 0.0580
Ni: 0.7500 0.5319 0.0439
Ni: 0.2500 0.4681 0.9561
H: 0.7500 0.7956 0.7482
H: 0.2500 0.2044 0.2518

---

# 5
First-principles (GGA-PBE) data for a relaxed Li2NpCrN4 crystal, as listed in Alexandria via LeMat-Bulk.

Symmetry   No. 63
V   10.8 A^3/atom
Energy relative to the elements, uncorrected   -3.34 eV per formula unit

Cell: 3.1850 5.9722 9.4134 Å, 90.00 90.00 105.47°
Last column: magnetic moment on the atom in μB.
Element x y z (fractional)
N: 0.3054 0.6109 0.1206  -0.12
N: 0.6946 0.3891 0.6206  -0.12
N: 0.0000 0.0000 0.0000  -0.32
N: 0.0000 0.0000 0.5000  -0.32
N: 0.3054 0.6109 0.3794  -0.12
N: 0.6106 0.2212 0.2500  -0.11
N: 0.3894 0.7788 0.7500  -0.11
N: 0.6946 0.3891 0.8794  -0.12
Cr: 0.7921 0.5841 0.7500  0.52
Cr: 0.2079 0.4159 0.2500  0.52
Li: 0.3975 0.7950 0.5398  -0.01
Li: 0.3975 0.7950 0.9602  -0.01
Li: 0.6025 0.2050 0.4602  -0.01
Li: 0.6025 0.2050 0.0398  -0.01
Np: 0.9468 0.8936 0.2500  3.09
Np: 0.0532 0.1064 0.7500  3.09

---

# 6
First-principles (GGA-PBE) data for a relaxed Li2PuCl6 crystal, as listed in Alexandria via LeMat-Bulk.

Symmetry   No. 12
V   29.1 A^3/atom
Energy relative to the elements, uncorrected   -14.93 eV per formula unit

Cell: 4.1487 7.8916 9.7029 Å, 59.00 77.66 74.76°
Last column: magnetic moment on the atom in μB.
Element x y z (fractional)
Cl: 0.3826 0.6908 0.5440  -0.08
Cl: 0.9826 0.2402 0.7946  -0.11
Cl: 0.0174 0.7598 0.2054  -0.11
Cl: 0.6174 0.3092 0.4560  -0.08
Cl: 0.2883 0.2856 0.1377  -0.03
Cl: 0.7117 0.7144 0.8623  -0.03
Li: 0.8169 0.3563 0.0098  0.00
Li: 0.1831 0.6437 0.9902  0.00
Pu: 0.0000 0.5000 0.5000  4.41

---

# 7
First-principles (GGA-PBE) data for a relaxed Ba8As4Cl3 crystal, as listed in Alexandria via LeMat-Bulk.

Symmetry   No. 12
V   40.0 A^3/atom
Energy relative to the elements, uncorrected   -22.39 eV per formula unit

Cell: 9.4598 9.4699 9.4699 Å, 90.93 119.76 119.76°
Element x y z (fractional)
As: 0.0000 0.0000 0.5000
As: 0.5000 0.0000 0.0000
As: 0.0000 0.5000 0.0000
As: 0.0000 0.0000 0.0000
Cl: 0.5000 0.5000 0.5000
Cl: 0.5000 0.0000 0.5000
Cl: 0.5000 0.5000 0.0000
Ba: 0.0075 0.7569 0.7569
Ba: 0.5000 0.7592 0.2408
Ba: 0.4758 0.2283 0.2283
Ba: 0.0000 0.7602 0.2398
Ba: 0.0000 0.2398 0.7602
Ba: 0.9925 0.2431 0.2431
Ba: 0.5000 0.2408 0.7592
Ba: 0.5242 0.7717 0.7717

---

# 8
First-principles (GGA-PBE) data for a relaxed TaCuTeO5 crystal, as listed in Alexandria via LeMat-Bulk.

Symmetry   No. 15
V   14.9 A^3/atom
Energy relative to the elements, uncorrected   -12.15 eV per formula unit

Cell: 6.2238 6.2238 7.8178 Å, 104.56 104.56 116.29°
Element x y z (fractional)
O: 0.6060 0.8291 0.9275
O: 0.3940 0.1709 0.0725
O: 0.6567 0.9750 0.3859
O: 0.9750 0.6567 0.8859
O: 0.8291 0.6060 0.4275
O: 0.9703 0.0297 0.7500
O: 0.3433 0.0250 0.6141
O: 0.1709 0.3940 0.5725
O: 0.0297 0.9703 0.2500
O: 0.0250 0.3433 0.1141
Cu: 0.6686 0.3314 0.7500
Cu: 0.3314 0.6686 0.2500
Ta: 0.0000 0.0000 0.0000
Ta: 0.0000 0.0000 0.5000
Te: 0.7362 0.2638 0.2500
Te: 0.2638 0.7362 0.7500